{
  "formula": "LiTiV2",
  "functional": "PBE",
  "state": "relaxed",
  "relative_energy_mev_per_atom": 91.8,
  "final_energy_ev_per_fu": -25.675,
  "vol_a3_per_atom": 14.64,
  "crystal_system": "tetragonal",
  "spacegroup": "I-42d (122)",
  "magnetic_moment_mub_per_atom": 0.000,
  "lattice": [[3.558, 0.000, 0.000], [0.000, 3.558, 0.000], [1.779, 1.779, 9.252]],
  "species": ["V", "V", "V", "V", "Li", "Li", "Ti", "Ti"],
  "fractional_positions": [[0.116, 0.125, 0.250], [0.634, 0.625, 0.250], [0.375, 0.884, 0.750], [0.875, 0.366, 0.750], [0.500, 0.500, 0.000], [0.250, 0.750, 0.500], [0.000, 0.000, 0.000], [0.750, 0.250, 0.500]]
}

---

{
  "formula": "Li2TiV",
  "functional": "PBE",
  "state": "relaxed",
  "relative_energy_mev_per_atom": 12.7,
  "final_energy_ev_per_fu": -18.202,
  "vol_a3_per_atom": 15.04,
  "crystal_system": "tetragonal",
  "spacegroup": "I-42d (122)",
  "magnetic_moment_mub_per_atom": 0.208,
  "lattice": [[-0.653, 0.216, -7.120], [0.374, -7.139, -0.251], [-2.479, -3.591, -3.475]],
  "species": ["V", "V", "Li", "Li", "Li", "Li", "Ti", "Ti"],
  "fractional_positions": [[0.000, 0.000, 0.000], [0.750, 0.250, 0.500], [0.633, 0.125, 0.250], [0.117, 0.625, 0.250], [0.375, 0.367, 0.750], [0.875, 0.883, 0.750], [0.500, 0.500, 0.000], [0.250, 0.750, 0.500]]
}

---

{
  "formula": "LiTiV2",
  "functional": "PBE",
  "state": "relaxed",
  "relative_energy_mev_per_atom": 0.0,
  "final_energy_ev_per_fu": -26.042,
  "vol_a3_per_atom": 14.23,
  "crystal_system": "cubic",
  "spacegroup": "Fm-3m (225)",
  "magnetic_moment_mub_per_atom": 0.000,
  "lattice": [[-3.917, -1.790, -0.309], [-2.881, 1.578, -2.803], [-1.064, -2.274, -3.513]],
  "species": ["V", "V", "Li", "Ti"],
  "fractional_positions": [[0.250, 0.250, 0.250], [0.750, 0.750, 0.750], [0.000, 0.000, 0.000], [0.500, 0.500, 0.500]]
}

---

{
  "formula": "Li3TiV",
  "functional": "PBE",
  "state": "relaxed",
  "relative_energy_mev_per_atom": 0.0,
  "final_energy_ev_per_fu": -16.712,
  "vol_a3_per_atom": 19.48,
  "crystal_system": "cubic",
  "spacegroup": "Pm-3m (221)",
  "magnetic_moment_mub_per_atom": 0.958,
  "lattice": [[-0.802, 2.679, 3.654], [-4.520, -0.222, -0.830], [-0.307, -3.735, 2.670]],
  "species": ["V", "Li", "Li", "Li", "Ti"],
  "fractional_positions": [[0.000, 0.000, 0.000], [0.000, 0.500, 0.000], [0.000, 0.000, 0.500], [0.500, 0.000, 0.000], [0.500, 0.500, 0.500]]
}

---

{
  "formula": "LiTi2V",
  "functional": "PBE",
  "state": "relaxed",
  "relative_energy_mev_per_atom": 1199.0,
  "final_energy_ev_per_fu": -20.872,
  "vol_a3_per_atom": 29.33,
  "crystal_system": "tetragonal",
  "spacegroup": "I4_1/amd (141)",
  "magnetic_moment_mub_per_atom": 0.000,
  "lattice": [[6.449, 0.000, 0.000], [0.000, 6.449, 0.000], [3.224, 3.224, 5.642]],
  "species": ["V", "V", "Li", "Li", "Ti", "Ti", "Ti", "Ti"],
  "fractional_positions": [[0.000, 0.000, 0.000], [0.750, 0.250, 0.500], [0.500, 0.500, 0.000], [0.250, 0.750, 0.500], [0.875, 0.125, 0.250], [0.875, 0.625, 0.250], [0.375, 0.125, 0.750], [0.875, 0.125, 0.750]]
}

---

{
  "formula": "Li2TiV",
  "functional": "PBE",
  "state": "relaxed",
  "relative_energy_mev_per_atom": 0.0,
  "final_energy_ev_per_fu": -18.253,
  "vol_a3_per_atom": 14.51,
  "crystal_system": "cubic",
  "spacegroup": "Fm-3m (225)",
  "magnetic_moment_mub_per_atom": 0.044,
  "lattice": [[-3.746, -2.147, -0.488], [-3.196, 0.520, 2.899], [-3.609, 2.152, -1.108]],
  "species": ["V", "Li", "Li", "Ti"],
  "fractional_positions": [[0.500, 0.500, 0.500], [0.250, 0.250, 0.250], [0.750, 0.750, 0.750], [0.000, 0.000, 0.000]]
}

---

Repeat the fifth record exactly.
{
  "formula": "LiTi2V",
  "functional": "PBE",
  "state": "relaxed",
  "relative_energy_mev_per_atom": 1199.0,
  "final_energy_ev_per_fu": -20.872,
  "vol_a3_per_atom": 29.33,
  "crystal_system": "tetragonal",
  "spacegroup": "I4_1/amd (141)",
  "magnetic_moment_mub_per_atom": 0.000,
  "lattice": [[6.449, 0.000, 0.000], [0.000, 6.449, 0.000], [3.224, 3.224, 5.642]],
  "species": ["V", "V", "Li", "Li", "Ti", "Ti", "Ti", "Ti"],
  "fractional_positions": [[0.000, 0.000, 0.000], [0.750, 0.250, 0.500], [0.500, 0.500, 0.000], [0.250, 0.750, 0.500], [0.875, 0.125, 0.250], [0.875, 0.625, 0.250], [0.375, 0.125, 0.750], [0.875, 0.125, 0.750]]
}